! Hf6Zr2Ag | Alexandria via LeMat-Bulk | GGA-PBE | optimized geometry; values from VASP
! - E_tot (eV per atom) = -8.774
! - volume (Å³/atom) = 22.42
! - DFT formation energy (eV per formula unit) = 0.70
&SYSTEM
  ibrav = 0, nat = 9, ntyp = 3
/
ATOMIC_SPECIES
Hf 178.49 Hf.upf
Zr 91.22 Zr.upf
Ag 107.87 Ag.upf
CELL_PARAMETERS angstrom
3.186 0.000 0.000
-1.593 2.759 0.000
0.000 0.000 22.955
ATOMIC_POSITIONS angstrom
Hf 0.000 0.000 1.480
Hf 0.000 0.000 6.618
Hf 0.000 0.000 16.337
Hf 0.000 0.000 21.475
Hf 0.000 1.839 9.044
Hf 0.000 1.839 13.910
Zr 0.000 1.839 3.941
Zr 0.000 1.839 19.013
Ag 0.000 0.000 11.477

***

! Mn3RePt | Alexandria via LeMat-Bulk | GGA-PBE | optimized geometry; values from VASP
! - E_tot (eV per atom) = -7.905
! - energy relative to the lowest polymorph listed for this composition (kJ/mol of formula units) = 0
! - volume (Å³/atom) = 18.63
! - DFT formation energy (eV per formula unit) = 6.47
&SYSTEM
  ibrav = 0, nat = 5, ntyp = 3
/
ATOMIC_SPECIES
Mn 54.94 Mn.upf
Re 186.21 Re.upf
Pt 195.08 Pt.upf
CELL_PARAMETERS angstrom
4.533 0.000 0.000
0.000 4.533 0.000
0.000 0.000 4.533
ATOMIC_POSITIONS angstrom
Mn 0.000 0.000 2.267
Mn 0.000 2.267 0.000
Mn 2.267 0.000 0.000
Re 0.000 0.000 0.000
Pt 2.267 2.267 2.267

***

! Nd4SnRu | Alexandria via LeMat-Bulk | GGA-PBE | optimized geometry; values from VASP
! - E_tot (eV per atom) = -5.780
! - volume (Å³/atom) = 30.31
! - DFT formation energy (eV per formula unit) = -2.33
&SYSTEM
  ibrav = 0, nat = 12, ntyp = 3
/
ATOMIC_SPECIES
Nd 144.24 Nd.upf
Sn 118.71 Sn.upf
Ru 101.07 Ru.upf
CELL_PARAMETERS angstrom
4.539 -6.986 0.000
4.539 6.986 0.000
-2.693 0.000 5.734
ATOMIC_POSITIONS angstrom
Nd 1.018 4.549 5.330
Nd 0.762 0.954 3.796
Nd 4.021 4.549 3.272
Nd 2.109 -0.954 0.929
Nd 4.277 0.954 4.806
Nd 2.365 -4.549 2.462
Nd 5.623 -0.954 1.938
Nd 5.367 -4.549 0.405
Sn 3.866 1.769 1.434
Sn 2.519 -1.769 4.301
Ru 3.866 -6.986 1.434
Ru 2.519 6.986 4.301

***

! NaReTe2O8 | Alexandria via LeMat-Bulk | GGA-PBE | optimized geometry; values from VASP
! - E_tot (eV per atom) = -6.256
! - volume (Å³/atom) = 14.92
! - E_form (uncorrected) (eV per atom) = -1.28
&SYSTEM
  ibrav = 0, nat = 12, ntyp = 4
/
ATOMIC_SPECIES
Na 22.99 Na.upf
Re 186.21 Re.upf
Te 127.60 Te.upf
O 16.00 O.upf
CELL_PARAMETERS angstrom
4.966 0.000 0.000
-0.055 5.385 0.000
-0.415 -1.132 6.694
ATOMIC_POSITIONS angstrom
Na 0.000 0.000 0.000
Re -0.207 -0.566 3.347
Te 2.080 1.523 5.072
Te 2.417 2.729 1.622
O 0.601 0.649 2.262
O 0.865 -0.011 4.934
O 1.065 3.515 2.918
O 1.417 3.442 0.164
O 3.079 0.811 6.530
O 3.431 0.738 3.777
O 3.632 4.264 1.760
O 3.896 3.604 4.432